[1]
Computed, not measured: a relaxed structure of Sc2Ta4Pb3N3 at the GGA-PBE level of DFT.

The space group is C2/c (No. 15) and the conventional cell measures 10.023, 5.843 and 14.072 Å, with angles of 90.00, 103.28 and 90.00 degrees. The inequivalent atoms are Sc at (0.057, 0.083, 0.415), Ta at (0.108, 0.425, 0.572), Ta at (0.222, 0.413, 0.927), Pb at (0.000, 0.427, 0.250), Pb at (0.172, 0.091, 0.749), N at (0.078, 0.237, 0.000) and N at (0.250, 0.250, 0.500).

The final energy comes out at -412.232 eV per cell. Its total magnetization is 0.012 μB/cell.

---

[2]
Computed, not measured: a relaxed structure of SrMgZn2In at the GGA-PBE level of DFT.

The space group is I4mm (No. 107) and the conventional cell measures 4.576, 4.576 and 11.803 Å, with angles of 90.00, 90.00 and 90.00 degrees. The inequivalent atoms are Sr at (0.000, 0.000, 0.000), Mg at (0.000, 0.000, 0.624), Zn at (0.000, 0.500, 0.249) and In at (0.000, 0.000, 0.380).

The final energy comes out at -18.614 eV per cell.

---

[3]
Computed, not measured: a relaxed structure of LuNiPd2 at the GGA-PBE level of DFT.

The space group is F-43m (No. 216) and the conventional cell measures 6.392, 6.392 and 6.392 Å, with angles of 90.00, 90.00 and 90.00 degrees. The inequivalent atoms are Lu at (0.000, 0.000, 0.000), Ni at (0.250, 0.250, 0.750), Pd at (0.000, 0.000, 0.500) and Pd at (0.250, 0.250, 0.250).

The value obtained for the calculated formation energy is -0.5666 eV/atom. Its total magnetization is 0.011 μB/cell.